1.
{
  "formula": "Rb2PaSnS6",
  "functional": "PBE",
  "state": "relaxed",
  "lattice": [[3.652, 2.109, 5.965], [-3.652, 2.109, 5.965], [0.000, -4.217, 5.965]],
  "species": ["Rb", "Rb", "Pa", "Sn", "S", "S", "S", "S", "S", "S"],
  "fractional_positions": [[0.250, 0.250, 0.250], [0.750, 0.750, 0.750], [0.000, 0.000, 0.000], [0.500, 0.500, 0.500], [0.251, 0.254, 0.748], [0.252, 0.749, 0.746], [0.254, 0.748, 0.251], [0.746, 0.252, 0.749], [0.748, 0.251, 0.254], [0.749, 0.746, 0.252]],
  "energy_ev_per_atom": -5.00,
  "magnetic_moment_mub_per_atom": 0.000
}

2.
{
  "formula": "Rb2PaSnS5",
  "functional": "PBE",
  "state": "relaxed",
  "lattice": [[2.157, -9.280, 0.000], [2.157, 9.280, 0.000], [0.000, 0.000, 14.668]],
  "species": ["Rb", "Rb", "Rb", "Rb", "Pa", "Pa", "Sn", "Sn", "S", "S", "S", "S", "S", "S", "S", "S", "S", "S"],
  "fractional_positions": [[0.098, 0.902, 0.500], [0.134, 0.866, 0.149], [0.866, 0.134, 0.649], [0.902, 0.098, 0.000], [0.214, 0.786, 0.863], [0.786, 0.214, 0.363], [0.449, 0.551, 0.274], [0.551, 0.449, 0.774], [0.067, 0.933, 0.873], [0.284, 0.716, 0.474], [0.308, 0.692, 0.246], [0.345, 0.655, 0.833], [0.497, 0.503, 0.123], [0.503, 0.497, 0.623], [0.655, 0.345, 0.333], [0.692, 0.308, 0.746], [0.716, 0.284, 0.974], [0.933, 0.067, 0.373]],
  "energy_ev_per_atom": -5.15,
  "magnetic_moment_mub_per_atom": 0.000
}

3.
{
  "formula": "Rb2PaSn2S6",
  "functional": "PBE",
  "state": "relaxed",
  "lattice": [[6.253, -3.777, 0.000], [6.253, 3.777, 0.000], [-4.065, 0.000, 7.460]],
  "species": ["Rb", "Rb", "Pa", "Sn", "Sn", "S", "S", "S", "S", "S", "S"],
  "fractional_positions": [[0.201, 0.201, 0.164], [0.799, 0.799, 0.836], [0.000, 0.000, 0.500], [0.448, 0.448, 0.798], [0.552, 0.552, 0.202], [0.183, 0.705, 0.237], [0.227, 0.227, 0.570], [0.295, 0.817, 0.763], [0.705, 0.183, 0.237], [0.773, 0.773, 0.430], [0.817, 0.295, 0.763]],
  "energy_ev_per_atom": -5.01,
  "magnetic_moment_mub_per_atom": 0.000
}

4.
{
  "formula": "Rb2PaSnS4",
  "functional": "PBE",
  "state": "relaxed",
  "lattice": [[7.408, 0.000, 0.000], [0.000, 4.182, 0.000], [-2.356, 0.000, 7.594]],
  "species": ["Rb", "Rb", "Pa", "Sn", "S", "S", "S", "S"],
  "fractional_positions": [[0.000, 0.000, 0.000], [0.500, 0.500, 0.000], [0.000, 0.500, 0.500], [0.500, 0.000, 0.500], [0.216, 0.000, 0.692], [0.245, 0.500, 0.306], [0.755, 0.500, 0.694], [0.784, 0.000, 0.308]],
  "energy_ev_per_atom": -5.21,
  "magnetic_moment_mub_per_atom": 0.125
}

5.
{
  "formula": "RbSr2PaS5",
  "functional": "PBE",
  "state": "relaxed",
  "lattice": [[-2.594, 3.770, 7.113], [2.594, -3.770, 7.113], [2.594, 3.770, -7.113]],
  "species": ["Rb", "Sr", "Sr", "Pa", "S", "S", "S", "S", "S"],
  "fractional_positions": [[0.000, 0.000, 0.000], [0.288, 0.788, 0.500], [0.712, 0.212, 0.500], [0.500, 0.500, 0.000], [0.129, 0.362, 0.767], [0.405, 0.638, 0.767], [0.500, 0.000, 0.500], [0.595, 0.362, 0.233], [0.871, 0.638, 0.233]],
  "energy_ev_per_atom": -5.62,
  "magnetic_moment_mub_per_atom": 0.000
}

6.
{
  "formula": "RbPa2TaS8",
  "functional": "PBE",
  "state": "relaxed",
  "lattice": [[5.954, 0.000, 0.000], [0.175, 6.357, 0.000], [0.008, 0.004, 8.420]],
  "species": ["Rb", "Pa", "Pa", "Ta", "S", "S", "S", "S", "S", "S", "S", "S"],
  "fractional_positions": [[0.000, 0.000, 0.000], [0.500, 0.500, 0.251], [0.500, 0.500, 0.749], [0.000, 0.000, 0.500], [0.240, 0.833, 0.696], [0.241, 0.834, 0.304], [0.262, 0.325, 0.500], [0.265, 0.401, 0.000], [0.735, 0.599, 0.000], [0.738, 0.675, 0.500], [0.759, 0.166, 0.696], [0.760, 0.167, 0.304]],
  "energy_ev_per_atom": -6.58,
  "magnetic_moment_mub_per_atom": 0.000
}

7.
{
  "formula": "Rb2TbPaS4",
  "functional": "PBE",
  "state": "relaxed",
  "lattice": [[7.078, 0.000, 0.000], [0.000, 4.056, 0.000], [-2.325, 0.000, 7.752]],
  "species": ["Rb", "Rb", "Tb", "Pa", "S", "S", "S", "S"],
  "fractional_positions": [[0.000, 0.000, 0.000], [0.500, 0.500, 0.000], [0.000, 0.500, 0.500], [0.500, 0.000, 0.500], [0.234, 0.000, 0.694], [0.268, 0.500, 0.304], [0.732, 0.500, 0.696], [0.766, 0.000, 0.306]],
  "energy_ev_per_atom": -5.70,
  "magnetic_moment_mub_per_atom": 0.240
}

8.
{
  "formula": "Rb2Tb2PaS6",
  "functional": "PBE",
  "state": "relaxed",
  "lattice": [[3.516, -6.075, 0.000], [3.516, 6.075, 0.000], [-2.378, 0.000, 7.875]],
  "species": ["Rb", "Rb", "Tb", "Tb", "Pa", "S", "S", "S", "S", "S", "S"],
  "fractional_positions": [[0.169, 0.831, 0.000], [0.831, 0.169, 0.000], [0.334, 0.666, 0.500], [0.666, 0.334, 0.500], [0.000, 0.000, 0.500], [0.061, 0.391, 0.687], [0.263, 0.263, 0.313], [0.391, 0.061, 0.687], [0.609, 0.939, 0.313], [0.737, 0.737, 0.687], [0.939, 0.609, 0.313]],
  "energy_ev_per_atom": -5.94,
  "magnetic_moment_mub_per_atom": 0.098
}

9.
{
  "formula": "Rb2PaTe2S2",
  "functional": "PBE",
  "state": "relaxed",
  "lattice": [[8.258, -2.483, 0.000], [8.258, 2.483, 0.000], [-2.694, 0.000, 6.341]],
  "species": ["Rb", "Rb", "Pa", "Te", "Te", "S", "S"],
  "fractional_positions": [[0.192, 0.192, 0.197], [0.808, 0.808, 0.803], [0.000, 0.000, 0.500], [0.483, 0.483, 0.758], [0.517, 0.517, 0.242], [0.163, 0.163, 0.681], [0.837, 0.837, 0.319]],
  "energy_ev_per_atom": -4.80,
  "magnetic_moment_mub_per_atom": 0.000
}

10.
{
  "formula": "RbPaTe2S8",
  "functional": "PBE",
  "state": "relaxed",
  "lattice": [[6.696, 0.000, 0.000], [-3.348, 5.799, 0.000], [0.000, 0.000, 9.504]],
  "species": ["Rb", "Pa", "Te", "Te", "S", "S", "S", "S", "S", "S", "S", "S"],
  "fractional_positions": [[0.000, 0.000, 0.000], [0.000, 0.000, 0.500], [0.333, 0.667, 0.722], [0.667, 0.333, 0.278], [0.039, 0.703, 0.333], [0.297, 0.336, 0.333], [0.333, 0.667, 0.960], [0.336, 0.039, 0.667], [0.664, 0.961, 0.333], [0.667, 0.333, 0.040], [0.703, 0.664, 0.667], [0.961, 0.297, 0.667]],
  "energy_ev_per_atom": -4.52,
  "magnetic_moment_mub_per_atom": 0.000
}

11.
{
  "formula": "Rb2ThPaS6",
  "functional": "PBE",
  "state": "relaxed",
  "lattice": [[6.592, -3.809, 0.000], [6.592, 3.809, 0.000], [-4.391, 0.000, 6.215]],
  "species": ["Rb", "Rb", "Th", "Pa", "S", "S", "S", "S", "S", "S"],
  "fractional_positions": [[0.250, 0.250, 0.250], [0.750, 0.750, 0.750], [0.000, 0.000, 0.500], [0.500, 0.500, 0.000], [0.256, 0.256, 0.756], [0.256, 0.744, 0.244], [0.256, 0.744, 0.756], [0.744, 0.256, 0.244], [0.744, 0.256, 0.756], [0.744, 0.744, 0.244]],
  "energy_ev_per_atom": -5.87,
  "magnetic_moment_mub_per_atom": 0.000
}

12.
{
  "formula": "Rb3Pa3TiS8",
  "functional": "PBE",
  "state": "relaxed",
  "lattice": [[3.924, 2.266, 7.968], [-3.924, 2.266, 7.968], [0.000, -4.531, 7.968]],
  "species": ["Rb", "Rb", "Rb", "Pa", "Pa", "Pa", "Ti", "S", "S", "S", "S", "S", "S", "S", "S"],
  "fractional_positions": [[0.000, 0.500, 0.500], [0.500, 0.000, 0.500], [0.500, 0.500, 0.000], [0.000, 0.000, 0.500], [0.000, 0.500, 0.000], [0.500, 0.000, 0.000], [0.500, 0.500, 0.500], [0.234, 0.234, 0.234], [0.244, 0.720, 0.720], [0.280, 0.280, 0.756], [0.280, 0.756, 0.280], [0.720, 0.244, 0.720], [0.720, 0.720, 0.244], [0.756, 0.280, 0.280], [0.766, 0.766, 0.766]],
  "energy_ev_per_atom": -6.29,
  "magnetic_moment_mub_per_atom": 0.401
}